# NdThNi2

Crystalline NdThNi2 at its relaxed geometry (PBE-GGA, the Alexandria database).

Cell lengths 3.9451, 3.9451, 20.8195 Å; angles 90.00, 90.00, 120.00 degrees
Space group R3m (No. 160, hexagonal axes)
Symmetry-distinct sites (fractional):
Nd  0.0000  0.0000  0.0000 [3 per cell]
Th  0.0000  0.0000  0.8276 [3 per cell]
Ni  0.0000  0.0000  0.2429 [3 per cell]
Ni  0.0000  0.0000  0.4166 [3 per cell]

## Properties
- energy of formation from the pure elements (eV per atom) = -0.218
- relative energy among the computed polymorphs (eV per atom) = 0.1606

# DyPuPaO6

Crystalline DyPuPaO6 at its relaxed geometry (PBE-GGA, the Alexandria database).

Cell lengths 5.7436, 5.7436, 4.7482 Å; angles 90.00, 90.00, 120.00 degrees
Space group P312 (No. 149)
Symmetry-distinct sites (fractional):
Dy  0.0000  0.0000  0.0000 [1 per cell]
Pu  0.6667  0.3333  0.0000 [1 per cell]
Pa  0.3333  0.6667  0.5000 [1 per cell]
O  0.0065  0.3471  0.2437 [6 per cell]

## Properties
- ΔE_f (raw) (eV/atom) = -3.304

# TbPa3N6

Crystalline TbPa3N6 at its relaxed geometry (PBE-GGA, the Alexandria database).

Cell lengths 7.815, 11.222, 3.682 Å; angles 90.00, 90.00, 90.00 degrees
Space group Cmmm (No. 65)
Symmetry-distinct sites (fractional):
Tb  0.000  0.000  0.000 [2 per cell]
Pa  0.000  0.500  0.000 [2 per cell]
Pa  0.250  0.250  0.500 [4 per cell]
N  0.000  0.150  0.500 [4 per cell]
N  0.202  0.370  0.000 [8 per cell]

## Properties
- relative energy among the computed polymorphs (eV per atom) = 0.2104
- ΔE_f (raw) (eV/atom) = -1.443

# AgSn3N

Crystalline AgSn3N at its relaxed geometry (PBE-GGA, the Alexandria database).

Cell lengths 4.794, 4.794, 4.794 Å; angles 90.00, 90.00, 90.00 degrees
Space group Pm-3m (No. 221)
Symmetry-distinct sites (fractional):
Ag  0.000  0.000  0.000 [1 per cell]
Sn  0.000  0.500  0.500 [3 per cell]
N  0.500  0.500  0.500 [1 per cell]

## Properties
- relative energy among the computed polymorphs (eV per atom) = 0.0000
- ΔE_f (raw) (eV/atom) = 0.516

# CeSn6Pd6

Crystalline CeSn6Pd6 at its relaxed geometry (PBE-GGA, the Alexandria database).

Cell lengths 5.796, 9.002, 9.976 Å; angles 90.00, 90.00, 90.00 degrees
Space group Immm (No. 71)
Symmetry-distinct sites (fractional):
Ce  0.000  0.000  0.000 [2 per cell]
Sn  0.000  0.000  0.335 [4 per cell]
Sn  0.000  0.342  0.000 [4 per cell]
Sn  0.000  0.500  0.332 [4 per cell]
Pd  0.000  0.248  0.500 [4 per cell]
Pd  0.250  0.250  0.250 [8 per cell]

## Properties
- energy of formation from the pure elements (eV per atom) = -0.567

# CaTePCl2

Crystalline CaTePCl2 at its relaxed geometry (PBE-GGA, the Alexandria database).

Cell lengths 5.020, 5.020, 6.857 Å; angles 90.00, 90.00, 90.00 degrees
Space group P4/mmm (No. 123)
Symmetry-distinct sites (fractional):
Ca  0.000  0.000  0.000 [1 per cell]
Te  0.000  0.000  0.500 [1 per cell]
P  0.500  0.500  0.500 [1 per cell]
Cl  0.000  0.500  0.000 [2 per cell]

## Properties
- relative energy among the computed polymorphs (eV per atom) = 0.0000
- ΔE_f (raw) (eV/atom) = -0.463

# TbNdSN

Crystalline TbNdSN at its relaxed geometry (PBE-GGA, the Alexandria database).

Cell lengths 3.7062, 3.7062, 19.3866 Å; angles 90.00, 90.00, 120.00 degrees
Space group R3m (No. 160, hexagonal axes)
Symmetry-distinct sites (fractional):
Tb  0.0000  0.0000  0.0000 [3 per cell]
Nd  0.0000  0.0000  0.5265 [3 per cell]
S  0.0000  0.0000  0.7599 [3 per cell]
N  0.0000  0.0000  0.2689 [3 per cell]

## Properties
- ΔE_f (raw) (eV/atom) = -1.785

# Gd2FePt

Crystalline Gd2FePt at its relaxed geometry (PBE-GGA, the Alexandria database).

Cell lengths 3.492, 3.492, 6.891 Å; angles 90.00, 90.00, 90.00 degrees
Space group P4/mmm (No. 123)
Symmetry-distinct sites (fractional):
Gd  0.000  0.000  0.245 [2 per cell]
Fe  0.500  0.500  0.000 [1 per cell]
Pt  0.500  0.500  0.500 [1 per cell]

## Properties
- energy of formation from the pure elements (eV per atom) = -0.516
- relative energy among the computed polymorphs (eV per atom) = 0.0000